(1)
{"formula": "Gd2LuTl", "functional": "PBE", "state": "relaxed", "polymorph_energy_mev_per_atom": 67.4, "space_group": "P4/mmm, No. 123", "e_form_ev_per_atom": -0.14, "volume_a3_per_atom": 29.5, "e_tot_ev_per_atom": -8.899, "lattice": [[-3.5848, 1.3952, -1.5574], [-1.7021, -0.1515, 3.7819], [2.0033, 6.4418, 1.1597]], "species": ["Lu", "Gd", "Tl", "Gd"], "frac_coords": [[0.5000, 0.5000, 0.5000], [0.0000, 0.0000, 0.2418], [0.5000, 0.5000, 0.0000], [0.0000, 0.0000, 0.7582]]}

(2)
{"formula": "GdLuTl2", "functional": "PBE", "state": "relaxed", "polymorph_energy_mev_per_atom": 93.9, "space_group": "R-3m, No. 166", "e_form_ev_per_atom": -0.24, "volume_a3_per_atom": 28.8, "e_tot_ev_per_atom": -6.076, "lattice": [[3.6997, 0.0000, 0.0000], [1.8499, 3.2041, 0.0000], [1.8499, 1.0680, 9.7142]], "species": ["Tl", "Lu", "Tl", "Gd"], "frac_coords": [[0.7480, 0.7480, 0.7559], [0.0000, 0.0000, 0.0000], [0.2520, 0.2520, 0.2441], [0.5000, 0.5000, 0.5000]]}

(3)
{"formula": "GdLuTl", "functional": "PBE", "state": "relaxed", "polymorph_energy_mev_per_atom": 68.8, "space_group": "P3m1, No. 156", "e_form_ev_per_atom": -0.15, "volume_a3_per_atom": 29.3, "e_tot_ev_per_atom": -7.142, "lattice": [[-3.5804, 0.0700, 0.9982], [-1.2480, -2.7176, -4.2861], [1.1860, -2.5063, 4.4300]], "species": ["Gd", "Tl", "Lu"], "frac_coords": [[0.9942, 0.0000, 0.0000], [0.5192, 0.3333, 0.6667], [0.4867, 0.6667, 0.3333]]}

(4)
{"formula": "GdLuTl", "functional": "PBE", "state": "relaxed", "polymorph_energy_mev_per_atom": 178.9, "space_group": "F-43m, No. 216", "e_form_ev_per_atom": -0.04, "volume_a3_per_atom": 32.3, "e_tot_ev_per_atom": -7.032, "lattice": [[-4.7372, -0.0878, 2.0276], [-2.8529, -4.2813, -0.3012], [-0.9371, -2.7756, 4.2400]], "species": ["Tl", "Gd", "Lu"], "frac_coords": [[0.2500, 0.2500, 0.2500], [0.5000, 0.5000, 0.5000], [0.0000, 0.0000, 0.0000]]}